Material: CaZnP2
Method: DFT, PBE
State: relaxed

Results
energy of formation from the pure elements: -0.651 eV/f.u.
total magnetic moment: 0.000 μB/cell

Structure (CIF):
```
data_CaZnP2
_chemical_formula_sum 'Ca2 Zn2 P4'
_symmetry_space_group_name_H-M 'I -4 m 2'
_symmetry_Int_Tables_number 119
_symmetry_space_group_name_Hall 'I -4 -2'
_cell_length_a 3.927
_cell_length_b 3.927
_cell_length_c 9.502
_cell_angle_alpha 90.00
_cell_angle_beta 90.00
_cell_angle_gamma 90.00
loop_
_atom_site_label
_atom_site_fract_x
_atom_site_fract_y
_atom_site_fract_z
Ca1 0.000 0.000 0.000
Zn1 0.000 0.500 0.250
P1 0.000 0.000 0.500
P2 0.000 0.500 0.750
```

***

Material: MnNiBi
Method: DFT, PBE
State: relaxed

Results
energy of formation from the pure elements: 0.513 eV/f.u.
total magnetic moment: 15.246 μB/cell

Structure (CIF):
```
data_MnNiBi
_chemical_formula_sum 'Mn4 Ni4 Bi4'
_symmetry_space_group_name_H-M 'I m m 2'
_symmetry_Int_Tables_number 44
_cell_length_a 4.073
_cell_length_b 4.092
_cell_length_c 12.876
_cell_angle_alpha 90.00
_cell_angle_beta 90.00
_cell_angle_gamma 90.00
loop_
_symmetry_equiv_pos_as_xyz
'x,y,z'
'-x,-y,z'
'-x,y,z'
'x,-y,z'
'x+1/2,y+1/2,z+1/2'
'-x+1/2,-y+1/2,z+1/2'
'-x+1/2,y+1/2,z+1/2'
'x+1/2,-y+1/2,z+1/2'
loop_
_atom_site_label
_atom_site_fract_x
_atom_site_fract_y
_atom_site_fract_z
Mn1 0.000 0.000 0.000
Mn2 0.000 0.500 0.372
Ni1 0.000 0.000 0.763
Ni2 0.000 0.500 0.884
Bi1 0.000 0.000 0.224
Bi2 0.000 0.000 0.538
```

***

- Which formula does entry 2 have?
  MnNiBi